(1)
Compound: HfCdP2Cl
Source: the Alexandria database
Functional: GGA-PBE
Structure: optimized geometry

abc: 4.901 4.901 4.863
angles: 90.00 90.00 90.00
Positions (direct):
P 0.000 0.500 0.000
P 0.500 0.000 0.000
Cl 0.000 0.000 0.500
Hf 0.500 0.500 0.500
Cd 0.000 0.000 0.000

Excess energy over the best structure of this formula in the dataset: 959 meV per atom
Calculated total energy: -19.588 eV per cell
Density: 5.5 g/cm³

=====

(2)
Compound: HfCdPtCl2
Source: the Alexandria database
Functional: GGA-PBE
Structure: optimized geometry

abc: 4.807 5.430 4.807
angles: 90.00 90.00 90.00
Positions (direct):
Cl 0.000 0.000 0.500
Cl 0.500 0.000 0.000
Hf 0.500 0.500 0.500
Pt 0.000 0.000 0.000
Cd 0.000 0.500 0.000

Calculated total energy: -17.815 eV per cell
Density: 7.4 g/cm³

=====

(3)
Compound: Rb2HfCdCl6
Source: the Alexandria database
Functional: GGA-PBE
Structure: optimized geometry

abc: 8.168 8.168 8.169
angles: 60.01 60.01 90.00
Positions (direct):
Cl 0.213 0.213 0.574
Cl 0.787 0.787 0.426
Cl 0.213 0.213 0.000
Cl 0.787 0.787 0.000
Cl 0.787 0.213 0.000
Cl 0.213 0.787 0.000
Hf 0.000 0.000 0.000
Rb 0.750 0.250 0.500
Rb 0.250 0.750 0.500
Cd 0.500 0.500 0.000

Calculated total energy: -40.183 eV per cell
Density: 2.9 g/cm³

=====

(4)
Compound: Hf2CdRuCl
Source: the Alexandria database
Functional: GGA-PBE
Structure: optimized geometry

abc: 4.693 4.452 4.693
angles: 90.00 90.00 90.00
Positions (direct):
Ru 0.000 0.500 0.000
Cl 0.000 0.000 0.000
Hf 0.000 0.000 0.500
Hf 0.500 0.000 0.000
Cd 0.500 0.500 0.500

Calculated total energy: -30.568 eV per cell
Density: 10.3 g/cm³

=====

no.,formation energy without anion corrections (eV/atom)
1,0.789
2,0.557
3,-1.630
4,0.275